Entry 1:
Entry from the Alexandria database: an optimized crystal structure of Cs2Mo3P3O17 (PBEsol).

Summary:
Energy: -7.910 eV per atom
Formation energy without anion corrections: -2.158 eV/atom

Lattice parameters (Å, degrees): 10.8526 9.5921 15.8155 90.00 111.37 90.00
With the nearest neighbours (Å) after each atom.
Space group P2_1/c (No. 14)
Asymmetric unit:
Cs: 0.0936 0.1247 0.2082  8 O 2.95-3.29
Cs: 0.3127 0.1188 0.9906  7 O 3.08-3.45
Mo: 0.0787 0.7472 0.0940  2 O 1.70-1.71
Mo: 0.2511 0.6187 0.9365  2 O 1.70-1.74
Mo: 0.4525 0.1166 0.7566  1 O 1.67
P: 0.1672 0.0938 0.5698  4 O 1.53-1.56
P: 0.3368 0.6794 0.2959  4 O 1.54-1.55
P: 0.4577 0.1004 0.3786  4 O 1.52-1.56
O: 0.0390 0.2395 0.8581  1 Mo 1.71
O: 0.0587 0.2073 0.5275  1 P 1.56
O: 0.1020 0.5838 0.5700  1 Mo 1.70
O: 0.1033 0.6102 0.8490  1 Mo 1.70
O: 0.1056 0.5332 0.0973  1 P 1.53
O: 0.2105 0.7109 0.0175  1 Mo 1.74
O: 0.2297 0.7405 0.2106  1 P 1.54
O: 0.2306 0.0574 0.4984  1 P 1.56
O: 0.2692 0.1675 0.6511  1 P 1.53
O: 0.3061 0.7162 0.3815  1 P 1.55
O: 0.3362 0.0096 0.3713  1 P 1.55
O: 0.3391 0.5187 0.2958  1 P 1.54
O: 0.3954 0.2348 0.3241  1 P 1.56
O: 0.4069 0.5715 0.6594  1 Mo 1.67
O: 0.4578 0.5261 0.1675  1 P 1.54
O: 0.4583 0.6382 0.0241  1 P 1.52
O: 0.4722 0.7400 0.3048  1 P 1.54

Entry 2:
Entry from the Alexandria database: an optimized crystal structure of CsMo2P3O13 (PBEsol).

Summary:
Excess energy over the best structure of this formula in the dataset: 6.4 meV/atom
Energy: -7.925 eV per atom
Formation energy without anion corrections: -2.131 eV/atom

Lattice parameters (Å, degrees): 6.3342 9.7453 10.0498 83.23 83.25 72.11
With the nearest neighbours (Å) after each atom.
Space group P1 (No. 1)
Asymmetric unit:
Cs: 0.0000 0.0000 0.0000  5 O 3.08-3.37
Cs: 0.0332 0.4365 0.5333  8 O 2.97-3.31
Mo: 0.3728 0.0658 0.2924  1 O 1.66
Mo: 0.3731 0.3384 0.8599  1 O 1.66
Mo: 0.6708 0.5205 0.2194  1 O 1.65
Mo: 0.6710 0.7921 0.7879  1 O 1.66
P: 0.2237 0.4263 0.1753  4 O 1.54-1.55
P: 0.2256 0.7061 0.7188  4 O 1.51-1.61
P: 0.5086 0.1255 0.5951  4 O 1.51-1.61
P: 0.5342 0.7332 0.4851  4 O 1.51-1.62
P: 0.8182 0.1529 0.3627  4 O 1.51-1.61
P: 0.8204 0.4313 0.9040  4 O 1.53-1.56
O: 0.0571 0.3347 0.8583  1 P 1.56
O: 0.0608 0.0586 0.3450  1 P 1.53
O: 0.2396 0.2667 0.2170  1 P 1.54
O: 0.2576 0.5453 0.7452  1 P 1.51
O: 0.2743 0.4522 0.0222  1 P 1.54
O: 0.2932 0.7379 0.5614  2 P 1.61-1.62
O: 0.3503 0.1466 0.4866  1 P 1.52
O: 0.3640 0.7634 0.8017  1 P 1.53
O: 0.3822 0.4718 0.2536  1 P 1.54
O: 0.4036 0.9862 0.1509  1 Mo 1.66
O: 0.4401 0.2587 0.6752  1 P 1.53
O: 0.4808 0.1791 0.9444  1 Mo 1.66
O: 0.5041 0.8739 0.3984  1 P 1.51
O: 0.5357 0.9862 0.6846  1 P 1.51
O: 0.5650 0.6776 0.1332  1 Mo 1.65
O: 0.6045 0.6009 0.4041  1 P 1.53
O: 0.6430 0.8715 0.9292  1 Mo 1.66
O: 0.6639 0.3835 0.8259  1 P 1.54
O: 0.6782 0.0983 0.2784  1 P 1.54
O: 0.6917 0.7128 0.5943  1 P 1.52
O: 0.7509 0.1171 0.5197  2 P 1.61
O: 0.7720 0.4034 0.0570  1 P 1.54
O: 0.7864 0.3137 0.3391  1 P 1.51
O: 0.8039 0.5903 0.8613  1 P 1.53
O: 0.9828 0.8007 0.7352  1 P 1.53
O: 0.9872 0.5212 0.2211  1 P 1.55

Entry 3:
Entry from the Alexandria database: an optimized crystal structure of CsSi2Mo3P6O25 (PBEsol).

Summary:
Energy: -7.981 eV per atom
Fermi-level density of states: 12.84 states/eV/f.u.
Formation energy without anion corrections: -2.205 eV/atom

Lattice parameters (Å, degrees): 8.3399 8.3399 17.6522 90.00 90.00 120.00
With the nearest neighbours (Å) after each atom.
Space group P-31c (No. 163)
Asymmetric unit:
Cs: 0.3333 0.6667 0.2500  6 O 3.22
Si: 0.0000 0.0000 0.0904  4 O 1.60-1.63
Mo: 0.3333 0.6667 0.0220  6 O 2.03
Mo: 0.3333 0.6667 0.7500  6 O 2.00
P: 0.0507 0.3815 0.6093  4 O 1.52-1.59
O: 0.0000 0.0000 0.0000  2 Si 1.60
O: 0.0282 0.1947 0.1233  1 P 1.59, 1 Si 1.63
O: 0.1145 0.5211 0.0921  1 P 1.52
O: 0.1336 0.4718 0.6852  1 P 1.52
O: 0.1911 0.4401 0.5447  1 P 1.53

Entry 4:
Entry from the Alexandria database: an optimized crystal structure of Cs3PrMo3O12 (PBEsol).

Summary:
Energy: -7.915 eV per atom
Fermi-level density of states: 0.00 states/eV/f.u.
Formation energy without anion corrections: -2.320 eV/atom

Lattice parameters (Å, degrees): 9.3180 6.3483 25.5198 90.00 90.00 90.00
With the nearest neighbours (Å) after each atom.
Space group Pnma (No. 62)
Asymmetric unit:
Cs: 0.0235 0.2500 0.0918  7 O 3.06-3.32
Cs: 0.0878 0.2500 0.6823  7 O 2.97-3.28
Cs: 0.1920 0.2500 0.2569  8 O 3.06-3.42
Pr: 0.1833 0.7500 0.4605  7 O 2.36-2.47
Mo: 0.0195 0.7500 0.6023  4 O 1.75-1.77
Mo: 0.1125 0.2500 0.8248  4 O 1.76-1.79
Mo: 0.2421 0.7500 0.0263  4 O 1.73-1.78
O: 0.0198 0.0213 0.8048  1 Mo 1.76
O: 0.0695 0.2500 0.5157  1 Mo 1.78
O: 0.0861 0.0189 0.4032  1 Mo 1.77
O: 0.0936 0.7500 0.6654  1 Mo 1.75
O: 0.1412 0.2500 0.8940  1 Mo 1.79
O: 0.1622 0.7500 0.5568  1 Mo 1.77
O: 0.1678 0.5254 0.9947  1 Mo 1.78
O: 0.2041 0.7500 0.0928  1 Mo 1.73
O: 0.2228 0.7500 0.2907  1 Mo 1.76

Q: The lowest energy belongs to which entry?
A: CsSi2Mo3P6O25

Q: Number 1 is which compound?
A: Cs2Mo3P3O17

Q: The lowest energy belongs to which entry?
A: CsSi2Mo3P6O25